[1]
## Ac2Pr3Ir3 (GGA-PBE)

Data for a relaxed Ac2Pr3Ir3 crystal. Values from VASP.

Calculated values
Symmetry = No. 8
Raw total energy = -6.62 eV/atom

The structure in Quantum ESPRESSO input format:
```
&SYSTEM
  ibrav = 0, nat = 16, ntyp = 3
/
ATOMIC_SPECIES
Ir 192.22 Ir.upf
Pr 140.91 Pr.upf
Ac 227.00 Ac.upf
CELL_PARAMETERS angstrom
5.874 0.000 0.000
-2.937 6.765 -0.126
0.000 -0.130 14.134
ATOMIC_POSITIONS angstrom
Ir 2.937 4.641 0.844
Pr 2.937 5.750 12.453
Ir 0.000 2.796 3.487
Ac 2.937 2.022 13.055
Ac 0.000 4.389 0.900
Pr 0.000 0.709 5.404
Pr 2.937 2.368 7.873
Ir 2.937 4.747 6.114
Ir 0.000 2.060 7.883
Ir 0.000 1.761 13.183
Pr 0.000 3.294 10.563
Pr 2.937 3.268 3.512
Ac 2.937 6.108 8.734
Ac 0.000 4.498 6.003
Pr 0.000 0.661 1.641
Ir 2.937 3.742 10.472
```

[2]
## In2Pd2Br (GGA-PBE)

Data for a relaxed In2Pd2Br crystal. Values from VASP.

Calculated values
Symmetry = No. 127
Energy relative to the lowest polymorph listed for this composition = 0.000 eV/f.u.
Raw total energy = -3.82 eV/atom

The structure in Quantum ESPRESSO input format:
```
&SYSTEM
  ibrav = 0, nat = 10, ntyp = 3
/
ATOMIC_SPECIES
In 114.82 In.upf
Pd 106.42 Pd.upf
Br 79.90 Br.upf
CELL_PARAMETERS angstrom
7.811 0.000 0.000
0.000 7.811 0.000
0.000 0.000 3.364
ATOMIC_POSITIONS angstrom
In 2.635 1.270 1.682
Pd 2.867 6.772 0.000
In 6.541 2.635 1.682
Pd 6.772 4.944 0.000
In 1.270 5.176 1.682
Pd 1.039 2.867 0.000
Pd 4.944 1.039 0.000
Br 0.000 0.000 0.000
Br 3.906 3.906 0.000
In 5.176 6.541 1.682
```

[3]
## NaScTl4 (GGA-PBE)

Data for a relaxed NaScTl4 crystal. Values from VASP.

Calculated values
Symmetry = No. 123
Raw total energy = -2.75 eV/atom

The structure in Quantum ESPRESSO input format:
```
&SYSTEM
  ibrav = 0, nat = 6, ntyp = 3
/
ATOMIC_SPECIES
Na 22.99 Na.upf
Tl 204.38 Tl.upf
Sc 44.96 Sc.upf
CELL_PARAMETERS angstrom
4.889 0.000 -0.001
-0.001 4.890 -0.001
0.005 0.008 7.680
ATOMIC_POSITIONS angstrom
Na 2.456 2.439 7.666
Tl 2.452 4.876 2.074
Sc 0.008 4.880 3.824
Tl 2.454 4.883 5.574
Tl 0.007 2.435 2.075
Tl 0.011 2.436 5.575
```

[4]
## GaGePt2 (GGA-PBE)

Data for a relaxed GaGePt2 crystal. Values from VASP.

Calculated values
Symmetry = No. 160
Raw total energy = -5.29 eV/atom

The structure in Quantum ESPRESSO input format:
```
&SYSTEM
  ibrav = 0, nat = 4, ntyp = 3
/
ATOMIC_SPECIES
Ga 69.72 Ga.upf
Pt 195.08 Pt.upf
Ge 72.64 Ge.upf
CELL_PARAMETERS angstrom
-0.968 2.915 -1.943
-3.443 1.161 0.058
-0.176 4.958 4.125
ATOMIC_POSITIONS angstrom
Ga -2.291 4.526 1.132
Pt -1.145 2.265 0.568
Pt -0.501 4.055 2.932
Ge -3.121 7.664 2.854
```

[5]
## LaHo8Tm3 (GGA-PBE)

Data for a relaxed LaHo8Tm3 crystal. Values from VASP.

Calculated values
Symmetry = No. 44
Raw total energy = -4.57 eV/atom

The structure in Quantum ESPRESSO input format:
```
&SYSTEM
  ibrav = 0, nat = 12, ntyp = 3
/
ATOMIC_SPECIES
Ho 164.93 Ho.upf
Tm 168.93 Tm.upf
La 138.91 La.upf
CELL_PARAMETERS angstrom
7.978 -1.343 -2.274
-5.718 6.047 -1.160
1.071 1.346 8.232
ATOMIC_POSITIONS angstrom
Ho 3.414 0.783 1.430
Ho -1.963 5.522 6.276
Tm -1.944 4.488 2.959
Ho 3.036 3.143 -1.288
Ho 1.053 4.488 4.933
Ho 6.385 0.784 3.387
Ho 2.998 4.176 2.015
La 0.372 0.775 -0.565
Ho 5.293 0.526 -1.477
Tm -0.040 4.214 0.063
Tm 3.371 1.837 4.734
Ho 0.331 1.871 2.785
```

[6]
## CrTe2I (GGA-PBE)

Data for a relaxed CrTe2I crystal. Values from VASP.

Calculated values
Symmetry = No. 156
Energy relative to the lowest polymorph listed for this composition = 1.737 eV/f.u.
Raw total energy = -4.14 eV/atom

The structure in Quantum ESPRESSO input format:
```
&SYSTEM
  ibrav = 0, nat = 4, ntyp = 3
/
ATOMIC_SPECIES
Cr 52.00 Cr.upf
I 126.90 I.upf
Te 127.60 Te.upf
CELL_PARAMETERS angstrom
-2.414 -1.505 2.109
2.725 -1.907 -1.214
6.451 3.106 9.601
ATOMIC_POSITIONS angstrom
Cr 3.930 -0.368 4.237
I 0.099 0.048 0.147
Te 5.344 0.312 6.341
Te 1.336 -0.658 4.033
```

[7]
## KAlMo2 (GGA-PBE)

Data for a relaxed KAlMo2 crystal. Values from VASP.

Calculated values
Symmetry = No. 65
Raw total energy = -5.43 eV/atom

The structure in Quantum ESPRESSO input format:
```
&SYSTEM
  ibrav = 0, nat = 4, ntyp = 3
/
ATOMIC_SPECIES
Mo 95.94 Mo.upf
Al 26.98 Al.upf
K 39.10 K.upf
CELL_PARAMETERS angstrom
-3.091 4.349 -2.097
-2.455 -5.039 1.206
-0.502 0.838 2.477
ATOMIC_POSITIONS angstrom
Mo 0.000 0.000 0.000
Al -1.797 2.593 0.190
Mo -2.773 -0.345 -0.445
K -1.478 -2.101 1.842
```

[8]
## Pu4Te3H4 (GGA-PBE)

Data for a relaxed Pu4Te3H4 crystal. Values from VASP.

Calculated values
Symmetry = No. 217
Energy relative to the lowest polymorph listed for this composition = 0.000 eV/f.u.
Raw total energy = -7.97 eV/atom

The structure in Quantum ESPRESSO input format:
```
&SYSTEM
  ibrav = 0, nat = 11, ntyp = 3
/
ATOMIC_SPECIES
Pu 244.00 Pu.upf
H 1.01 H.upf
Te 127.60 Te.upf
CELL_PARAMETERS angstrom
-2.112 -4.616 -4.052
0.111 -2.327 6.063
-3.988 5.119 -0.281
ATOMIC_POSITIONS angstrom
Pu 0.070 -1.461 3.805
H -4.507 -1.373 1.301
Te -3.050 0.252 -2.167
Te -1.001 -3.471 1.005
Pu -2.230 -0.679 0.644
H -0.523 -1.142 -1.003
H -0.987 1.267 -0.070
Pu -1.326 -2.897 -2.543
Pu -2.503 3.213 -0.177
H 0.028 -0.576 1.500
Te -1.938 1.396 2.891
```